Below is a relaxed HfSiSe2 crystal, with properties calculated at the PBE level.

Results
**Energy relative to the elements, uncorrected**: -2 meV/atom
**Electronic total energy**: -5.588 eV/atom
**Volume**: 220 Å³ per cell
**M_tot**: 0.0 μB/f.u.
**Density of states at the Fermi level**: 0.87 states/eV/atom

abc: 6.413 6.413 7.013
angles: 62.80 62.80 90.00
Atoms (fractional coordinates):
1 Si 0.250 0.750 0.500
2 Si 0.500 0.500 0.000
3 Se 0.375 0.362 0.750
4 Se 0.875 0.888 0.750
5 Se 0.112 0.625 0.250
6 Se 0.638 0.125 0.250
7 Hf 0.750 0.250 0.500
8 Hf 0.000 0.000 0.000